A relaxed CsCo3F crystal. Source: Alexandria via LeMat-Bulk, functional PBE with a Hubbard U.

The raw total energy is -1.3565 eV/atom. The value obtained for the magnetization is 7.24 Bohr magnetons per cell. The density of states at the Fermi level is 2.81 states/eV/cell. Its space group is Pm-3m, No. 221. The calculation puts the calculated volume at 179.3 Å³/cell.

a = 5.6390 Å, b = 5.6390 Å, c = 5.6390 Å
α = 90.00°, β = 90.00°, γ = 90.00°
Last column: nearest neighbours and their distance in Å.
Fractional positions:
Cs  0.0000  0.0000  0.0000  6 Co 2.82
Co  0.0000  0.0000  0.5000  2 Cs 2.82
Co  0.0000  0.5000  0.0000  2 Cs 2.82
Co  0.5000  0.0000  0.0000  2 Cs 2.82
F  0.5000  0.5000  0.5000  12 Co 3.99